1.
An optimized crystal structure of Li2UF6, computed with PBE.

Cell: 4.0317 5.6214 6.1325 Å, 71.44 70.81 68.99°
Closest atoms and distances in Å follow each position.
Fractional positions:
Li: 0.1734 0.7570 0.8961  5 F 1.99-2.15
Li: 0.8266 0.2430 0.1039  5 F 1.99-2.15
U: 0.0000 0.5000 0.5000  8 F 2.19-2.36
F: 0.7576 0.6343 0.8506  3 Li 2.15-2.24, 1 U 2.30
F: 0.2424 0.3657 0.1494  3 Li 2.15-2.24, 1 U 2.30
F: 0.9652 0.8546 0.2150  2 Li 1.99-2.03, 1 U 2.19
F: 0.3650 0.7082 0.5618  1 Li 2.01
F: 0.0348 0.1454 0.7850  2 Li 1.99-2.03, 1 U 2.19
F: 0.6350 0.2918 0.4382  1 Li 2.01

Computed properties:
Formation energy from raw total energies: -3.32 eV/atom
V: 13.3 Å³ per atom
Total DFT energy (no corrections): -56.18 eV for the cell shown

=====

2.
An optimized crystal structure of CaCr2Mo, computed with PBE.

Cell: 4.6050 4.6050 4.6050 Å, 119.99 119.99 90.02°
Closest atoms and distances in Å follow each position.
Fractional positions:
Cr: 0.0000 0.0000 0.0000  4 Cr 2.82, 4 Ca 2.82
Cr: 0.2500 0.7500 0.5000  4 Cr 2.82, 4 Mo 2.82
Mo: 0.5000 0.5000 0.0000  4 Cr 2.82, 4 Ca 2.82
Ca: 0.7500 0.2500 0.5000  4 Cr 2.82, 4 Mo 2.82

Computed properties:
Calculated formation energy: 0.810 eV per atom
Excess energy over the best structure of this formula in the dataset: 118.5 kJ/mol of formula units
V: 17.3 Å³ per atom
Total DFT energy (no corrections): -28.84 eV for the cell shown

=====

3.
An optimized crystal structure of LaMn2Ag, computed with PBE.

Cell: 4.1105 4.1105 9.8792 Å, 77.99 77.99 90.00°
Closest atoms and distances in Å follow each position.
Fractional positions:
Mn: 0.7301 0.1250 0.2500  2 Mn 2.38, 2 La 2.64
Mn: 0.0199 0.6250 0.2500  2 Mn 2.38, 2 La 2.64
Mn: 0.3750 0.2699 0.7500  2 Mn 2.38, 2 La 2.64
Mn: 0.8750 0.9801 0.7500  2 Mn 2.38, 2 La 2.64
Ag: 0.5000 0.5000 0.0000  4 La 2.91, 4 Mn 2.96
Ag: 0.2500 0.7500 0.5000  4 La 2.91, 4 Mn 2.96
La: 0.0000 0.0000 0.0000  4 Mn 2.64, 4 Ag 2.91
La: 0.7500 0.2500 0.5000  4 Mn 2.64, 4 Ag 2.91

Computed properties:
Calculated formation energy: 1.019 eV per atom
V: 19.9 Å³ per atom
Total DFT energy (no corrections): -44.08 eV for the cell shown

=====

4.
An optimized crystal structure of DyAl2SiNi4, computed with PBE.

Cell: 4.0144 4.0144 8.5171 Å, 76.37 76.37 60.00°
Closest atoms and distances in Å follow each position.
Fractional positions:
Dy: 0.0000 0.0000 0.0000  6 Ni 2.96, 6 Al 3.24
Al: 0.7586 0.7586 0.7241  7 Ni 2.36-2.57
Al: 0.2414 0.2414 0.2759  7 Ni 2.36-2.57
Si: 0.5000 0.5000 0.5000  8 Ni 2.26-2.43
Ni: 0.4079 0.4079 0.7763  1 Si 2.26, 3 Al 2.36
Ni: 0.8633 0.8633 0.4101  3 Si 2.43, 4 Al 2.57
Ni: 0.1367 0.1367 0.5899  3 Si 2.43, 4 Al 2.57
Ni: 0.5921 0.5921 0.2237  1 Si 2.26, 3 Al 2.36

Computed properties:
Formation energy from raw total energies: -0.58 eV/atom
V: 14.3 Å³ per atom
Total DFT energy (no corrections): -45.24 eV for the cell shown

=====

5.
An optimized crystal structure of ReTcAu, computed with PBE.

Cell: 7.6645 7.4382 2.7354 Å, 84.27 74.93 20.80°
Closest atoms and distances in Å follow each position.
Fractional positions:
Au: 0.0004 0.0004 0.9996  6 Au 2.74-2.85, 2 Tc 2.94, 2 Re 2.95
Re: 0.3234 0.3234 0.6766  2 Tc 2.58, 6 Re 2.74-2.85
Tc: 0.6762 0.6762 0.3238  2 Re 2.58, 6 Tc 2.74-2.85

Computed properties:
Calculated formation energy: 0.391 eV per atom
Excess energy over the best structure of this formula in the dataset: 64.7 kJ/mol of formula units
V: 16.2 Å³ per atom
Total DFT energy (no corrections): -24.92 eV for the cell shown

=====

6.
An optimized crystal structure of AsIr2Pb, computed with PBE.

Cell: 4.6810 4.6810 4.6810 Å, 60.00 60.00 60.00°
Closest atoms and distances in Å follow each position.
Fractional positions:
Pb: 0.7500 0.7500 0.7500  4 As 2.87, 4 Ir 2.87
As: 0.5000 0.5000 0.5000  4 Pb 2.87, 4 Ir 2.87
Ir: 0.0000 0.0000 0.0000  4 Pb 2.87, 4 Ir 2.87
Ir: 0.2500 0.2500 0.2500  4 As 2.87, 4 Ir 2.87

Computed properties:
Calculated formation energy: 0.702 eV per atom
Excess energy over the best structure of this formula in the dataset: 238.6 kJ/mol of formula units
V: 18.1 Å³ per atom
Total DFT energy (no corrections): -23.27 eV for the cell shown

=====

7.
An optimized crystal structure of BaCaZn2Pb, computed with PBE.

Cell: 5.4928 6.7116 5.4928 Å, 90.00 90.00 90.00°
Closest atoms and distances in Å follow each position.
Fractional positions:
Pb: 0.5000 0.5000 0.5000  4 Ba 3.88, 8 Zn 4.34
Zn: 0.0000 0.0000 0.5000  2 Ca 2.75
Zn: 0.5000 0.0000 0.0000  2 Ca 2.75
Ca: 0.0000 0.0000 0.0000  4 Zn 2.75
Ba: 0.0000 0.5000 0.0000  2 Ca 3.36

Computed properties:
Calculated formation energy: 0.557 eV per atom
V: 40.5 Å³ per atom
Total DFT energy (no corrections): -7.39 eV for the cell shown

=====

8.
An optimized crystal structure of MnAl2HOs, computed with PBE.

Cell: 4.1646 4.1646 3.2200 Å, 90.00 90.00 90.00°
Closest atoms and distances in Å follow each position.
Fractional positions:
H: 0.0000 0.0000 0.0000  2 Mn 1.61
Mn: 0.0000 0.0000 0.5000  2 H 1.61
Os: 0.5000 0.5000 0.5000  8 Al 2.63, 4 Mn 2.94
Al: 0.0000 0.5000 0.0000  2 H 2.08
Al: 0.5000 0.0000 0.0000  2 H 2.08

Computed properties:
V: 11.2 Å³ per atom
Total DFT energy (no corrections): -32.33 eV for the cell shown

=====

9.
An optimized crystal structure of Ce4Ho3TmTe8, computed with PBE.

Cell: 8.7218 8.9179 8.7211 Å, 119.27 120.00 90.00°
Closest atoms and distances in Å follow each position.
Fractional positions:
Ce: 0.5000 0.0000 0.0000  6 Te 3.19
Ce: 0.5000 0.0000 0.5000  6 Te 3.18
Ce: 0.0000 0.0000 0.0000  6 Te 3.18
Ce: 0.0000 0.0000 0.5000  6 Te 3.18
Ho: 0.5000 0.5000 0.0000  6 Te 3.06
Ho: 0.5000 0.5000 0.5000  6 Te 3.06
Ho: 0.0000 0.5000 0.5000  6 Te 3.06
Tm: 0.0000 0.5000 0.0000  6 Te 3.05
Te: 0.2445 0.7358 0.9913  1 Tm 3.05, 2 Ho 3.06, 3 Ce 3.18-3.19
Te: 0.2445 0.7358 0.4890  1 Tm 3.05, 2 Ho 3.06, 3 Ce 3.18-3.19
Te: 0.2543 0.2630 0.5087  3 Ho 3.06, 3 Ce 3.18
Te: 0.7468 0.7358 0.9913  1 Tm 3.05, 2 Ho 3.06, 3 Ce 3.18-3.19
Te: 0.2532 0.2642 0.0087  1 Tm 3.05, 2 Ho 3.06, 3 Ce 3.18-3.19
Te: 0.7457 0.7370 0.4913  3 Ho 3.06, 3 Ce 3.18
Te: 0.7555 0.2642 0.5110  1 Tm 3.05, 2 Ho 3.06, 3 Ce 3.18-3.19
Te: 0.7555 0.2642 0.0087  1 Tm 3.05, 2 Ho 3.06, 3 Ce 3.18-3.19

Computed properties:
Formation energy from raw total energies: -1.31 eV/atom
V: 30.3 Å³ per atom
Total DFT energy (no corrections): -88.07 eV for the cell shown

=====

10.
An optimized crystal structure of EuCdAgPb, computed with PBE.

Cell: 5.2539 5.2539 5.2539 Å, 60.00 60.00 60.00°
Closest atoms and distances in Å follow each position.
Fractional positions:
Pb: 0.0000 0.0000 0.0000  4 Cd 3.22, 4 Eu 3.22
Eu: 0.2500 0.2500 0.2500  4 Pb 3.22, 4 Ag 3.22
Ag: 0.5000 0.5000 0.5000  4 Cd 3.22, 4 Eu 3.22
Cd: 0.7500 0.7500 0.7500  4 Pb 3.22, 4 Ag 3.22

Computed properties:
Calculated formation energy: -0.250 eV per atom
V: 25.6 Å³ per atom
Total DFT energy (no corrections): -18.75 eV for the cell shown

=====

11.
An optimized crystal structure of KLiMn, computed with PBE.

Cell: 6.8636 6.8636 6.8636 Å, 153.22 143.19 46.10°
Closest atoms and distances in Å follow each position.
Fractional positions:
K: 0.0009 0.0009 0.0000  2 K 3.18
Li: 0.2842 0.2842 0.0000  4 Mn 2.83
Mn: 0.7149 0.7149 0.0000  4 Li 2.83

Computed properties:
Calculated formation energy: 0.675 eV per atom
Excess energy over the best structure of this formula in the dataset: 0.0 kJ/mol of formula units
V: 29.0 Å³ per atom
Total DFT energy (no corrections): -10.16 eV for the cell shown

=====

12.
An optimized crystal structure of LaSmCoAu, computed with PBE.

Cell: 5.1137 5.1137 5.1137 Å, 60.00 60.00 60.00°
Closest atoms and distances in Å follow each position.
Fractional positions:
Co: 0.5000 0.5000 0.5000  4 Sm 3.13, 4 La 3.13
Au: 0.0000 0.0000 0.0000  4 La 3.13, 4 Sm 3.13
Sm: 0.7500 0.7500 0.7500  4 Au 3.13, 4 Co 3.13
La: 0.2500 0.2500 0.2500  4 Co 3.13, 4 Au 3.13

Computed properties:
Calculated formation energy: -0.323 eV per atom
V: 23.6 Å³ per atom
Total DFT energy (no corrections): -21.32 eV for the cell shown